Entry 1:
Density functional theory data (PBE) for an optimized crystal structure of V2SiRu.

For the theoretical density, the calculation gives 7170 kg/m³. Its spin magnetization is 0.00 Bohr magnetons per cell. The calculation puts the energy relative to the elements, uncorrected at -303 meV/atom. The value obtained for the energy is -8.54 eV/atom.

It has space group P4/mmm (No. 123), with a = 3.174 Å, b = 3.174 Å, c = 5.310 Å, α = 90.00°, β = 90.00° and γ = 90.00°. The asymmetric unit holds V at (0.000, 0.000, 0.229), Si at (0.500, 0.500, 0.000) and Ru at (0.500, 0.500, 0.500).

***

Entry 2:
Density functional theory data (PBE) for an optimized crystal structure of Th2Zn3CdGa4.

For the theoretical density, the calculation gives 8766 kg/m³. For the formation energy, the calculation gives -0.369 eV/atom. Its spin magnetization is 0.00 Bohr magnetons per cell. The value obtained for the energy is -3.54 eV/atom.

It has space group P-4m2 (No. 115), with a = 4.310 Å, b = 4.310 Å, c = 10.723 Å, α = 90.00°, β = 90.00° and γ = 90.00°. The asymmetric unit holds Th at (0.000, 0.500, 0.242), Zn at (0.000, 0.500, 0.872), Zn at (0.500, 0.500, 0.500), Cd at (0.000, 0.000, 0.500), Ga at (0.000, 0.000, 0.000), Ga at (0.000, 0.500, 0.647) and Ga at (0.500, 0.500, 0.000).